(1)
Compound: RhSe2I2
Source: Alexandria
Functional: PBE
Structure: optimized geometry

Unit cell a=8.303 b=11.157 c=7.970 alpha=90.00 beta=110.48 gamma=90.00
Space group C2/m (No. 12)
Asymmetric unit:
Rh 0.000 0.147 0.000 [4 per cell]
Se 0.070 0.000 0.250 [4 per cell]
Se 0.218 0.000 0.939 [4 per cell]
I 0.058 0.317 0.247 [8 per cell]

(2)
Compound: TaSnAs2Br
Source: Alexandria
Functional: PBE
Structure: optimized geometry

Unit cell a=5.185 b=5.185 c=5.217 alpha=90.00 beta=90.00 gamma=90.00
Space group P4/mmm (No. 123)
Asymmetric unit:
Ta 0.000 0.000 0.000 [1 per cell]
Sn 0.500 0.500 0.500 [1 per cell]
As 0.000 0.500 0.500 [2 per cell]
Br 0.500 0.500 0.000 [1 per cell]

(3)
Compound: Rb2ScCdB
Source: Alexandria
Functional: PBE
Structure: optimized geometry

Unit cell a=6.803 b=6.803 c=4.412 alpha=90.00 beta=90.00 gamma=90.00
Space group P4/mmm (No. 123)
Asymmetric unit:
Rb 0.000 0.500 0.000 [2 per cell]
Sc 0.000 0.000 0.500 [1 per cell]
Cd 0.500 0.500 0.500 [1 per cell]
B 0.000 0.000 0.000 [1 per cell]

(4)
Compound: WSCl3
Source: Alexandria
Functional: PBE
Structure: optimized geometry

Unit cell a=4.907 b=4.907 c=4.907 alpha=90.00 beta=90.00 gamma=90.00
Space group Pm-3m (No. 221)
Asymmetric unit:
W 0.000 0.000 0.000 [1 per cell]
S 0.500 0.500 0.500 [1 per cell]
Cl 0.000 0.500 0.500 [3 per cell]

(5)
Compound: TbNd6Hg2
Source: Alexandria
Functional: PBE
Structure: optimized geometry

Unit cell a=12.994 b=3.799 c=12.257 alpha=90.00 beta=108.72 gamma=90.00
Space group C2/m (No. 12)
Asymmetric unit:
Tb 0.000 0.000 0.000 [2 per cell]
Nd 0.022 0.000 0.337 [4 per cell]
Nd 0.186 0.500 0.876 [4 per cell]
Nd 0.191 0.500 0.591 [4 per cell]
Hg 0.137 0.500 0.194 [4 per cell]

(6)
Compound: Er2GaPt5
Source: Alexandria
Functional: PBE
Structure: optimized geometry

Unit cell a=5.801 b=11.617 c=4.156 alpha=90.00 beta=90.00 gamma=90.00
Space group Pbam (No. 55)
Asymmetric unit:
Er 0.201 0.138 0.000 [4 per cell]
Ga 0.000 0.500 0.500 [2 per cell]
Pt 0.000 0.000 0.500 [2 per cell]
Pt 0.047 0.748 0.500 [4 per cell]
Pt 0.203 0.390 0.000 [4 per cell]

Number 1: uncorrected energy -3.515 eV/atom. Number 2: uncorrected energy -4.030 eV/atom. Number 3: uncorrected energy -2.471 eV/atom. Number 4: uncorrected energy -3.215 eV/atom. Number 5: uncorrected energy -3.972 eV/atom. Number 6: uncorrected energy -6.325 eV/atom.